# Ca3Si (PBE, relaxed)
# DOS at the Fermi energy = 3.899 states/eV/f.u.
# Energy above the most stable polymorph in this dataset = 0.285 eV per atom
# Calculated volume = 451.7 Å³/cell
# Mass density = 2.2 g/cm3
# ΔE_f (raw) = 0.00 eV per atom
data_Ca3Si
_chemical_formula_sum 'Ca12 Si4'
_cell_length_a 7.673
_cell_length_b 7.673
_cell_length_c 7.673
_cell_angle_alpha 90.00
_cell_angle_beta 90.00
_cell_angle_gamma 90.00
_symmetry_space_group_name_H-M 'F m -3 m'
_symmetry_Int_Tables_number 225
_symmetry_space_group_name_Hall '-F 4 2 3'
loop_
_atom_site_label
_atom_site_fract_x
_atom_site_fract_y
_atom_site_fract_z
_atom_site_occupancy
Ca1 0.000 0.000 0.000 1
Ca2 0.250 0.250 0.250 1
Si1 0.000 0.000 0.500 1


# CaSc2BiN (PBE, relaxed)
# DOS at the Fermi energy = 4.244 states/eV/f.u.
# Calculated volume = 100.9 Å³/cell
# Mass density = 5.8 g/cm3
# ΔE_f (raw) = -0.94 eV per atom
data_CaSc2BiN
_chemical_formula_sum 'Ca1 Sc2 Bi1 N1'
_cell_length_a 4.497
_cell_length_b 4.497
_cell_length_c 4.992
_cell_angle_alpha 90.00
_cell_angle_beta 90.00
_cell_angle_gamma 90.00
_symmetry_space_group_name_H-M 'P 4/m m m'
_symmetry_Int_Tables_number 123
_symmetry_space_group_name_Hall '-P 4 2'
loop_
_atom_site_label
_atom_site_fract_x
_atom_site_fract_y
_atom_site_fract_z
_atom_site_occupancy
Ca1 0.000 0.000 0.000 1
Sc1 0.000 0.500 0.500 1
Bi1 0.500 0.500 0.000 1
N1 0.000 0.000 0.500 1